[1]
DFT (PBE) results for an optimized crystal structure of CeMgScPb.

Cell: 5.2944 5.2944 5.2944 Å, 60.00 60.00 60.00°
Fractional coordinates of all 4 atoms:
Pb: 0.7500 0.7500 0.7500
Sc: 0.0000 0.0000 0.0000
Mg: 0.2500 0.2500 0.2500
Ce: 0.5000 0.5000 0.5000

Calculated values
* crystal system: cubic
* calculated volume: 26.23 Å³ per atom
* ΔH_f (0 K): -0.186 eV/atom
* density of states at the Fermi level: 9.237 states/eV/cell

[2]
DFT (PBE) results for an optimized crystal structure of CeMgSnPb.

Cell: 4.4903 4.8852 4.8358 Å, 90.00 90.00 90.00°
Fractional coordinates of all 4 atoms:
Sn: 0.0000 0.0000 0.0000
Ce: 0.5000 0.0000 0.5000
Pb: 0.0000 0.5000 0.5000
Mg: 0.5000 0.5000 0.0000

Calculated values
* crystal system: orthorhombic
* E above lowest polymorph: 0 meV per atom
* calculated volume: 26.52 Å³ per atom
* ΔH_f (0 K): -0.429 eV/atom
* density of states at the Fermi level: 5.515 states/eV/cell